Record 1
First-principles (GGA-PBE) data for a relaxed CsNb2GeO8 crystal, as listed in Alexandria.

CIF file:
```
data_CsNb2GeO8
_symmetry_space_group_name_H-M 'P -3'
_symmetry_Int_Tables_number 147
_symmetry_space_group_name_Hall '-P 3'
_cell_length_a 5.5832
_cell_length_b 5.5832
_cell_length_c 8.6513
_cell_angle_alpha 90.00
_cell_angle_beta 90.00
_cell_angle_gamma 120.00
loop_
_atom_site_label
_atom_site_type_symbol
_atom_site_fract_x
_atom_site_fract_y
_atom_site_fract_z
Cs1 Cs 0.0000 0.0000 0.0000
Nb1 Nb 0.3333 0.6667 0.6870
Ge1 Ge 0.0000 0.0000 0.5000
O1 O 0.0649 0.3019 0.6280
O2 O 0.3333 0.6667 0.8960
```

Summary:
- raw formation energy (meV per atom) = -2011

***

Record 2
First-principles (GGA-PBE) data for a relaxed TbCePdPb crystal, as listed in Alexandria.

CIF file:
```
data_TbCePdPb
_symmetry_space_group_name_H-M 'F -4 3 m'
_symmetry_Int_Tables_number 216
_symmetry_space_group_name_Hall 'F -4 2 3'
_cell_length_a 7.4927
_cell_length_b 7.4927
_cell_length_c 7.4927
_cell_angle_alpha 90.00
_cell_angle_beta 90.00
_cell_angle_gamma 90.00
loop_
_atom_site_label
_atom_site_type_symbol
_atom_site_fract_x
_atom_site_fract_y
_atom_site_fract_z
Tb1 Tb 0.0000 0.0000 0.0000
Ce1 Ce 0.0000 0.0000 0.5000
Pd1 Pd 0.2500 0.2500 0.7500
Pb1 Pb 0.2500 0.2500 0.2500
```

Summary:
- ΔH_f (0 K) (eV/atom) = -0.495

***

no.,ρ (g/cm³),E (eV/atom)
1,3.7,-7.45
2,9.7,-5.36